1.
DFT (PBE) results for a relaxed structure of ZrCrSi.

Unit cell a=2.830 b=4.969 c=7.160 alpha=73.21 beta=80.11 gamma=83.05
Fractional positions:
Zr 0.047 0.691 0.143
Zr 0.953 0.309 0.857
Cr 0.682 0.298 0.483
Cr 0.318 0.702 0.517
Si 0.620 0.861 0.767
Si 0.380 0.139 0.233

Properties
size of the total moment: 0.000 μB per atom
uncorrected energy: -8.131 eV per atom

***

2.
DFT (PBE) results for a relaxed structure of ZrCr2Si2.

Unit cell a=6.939 b=6.939 c=2.967 alpha=90.00 beta=90.00 gamma=90.00
Fractional positions:
Cr 0.843 0.343 0.500
Cr 0.343 0.157 0.500
Cr 0.157 0.657 0.500
Cr 0.657 0.843 0.500
Zr 0.500 0.500 0.000
Zr 0.000 0.000 0.000
Si 0.369 0.869 0.000
Si 0.631 0.131 0.000
Si 0.869 0.631 0.000
Si 0.131 0.369 0.000

Properties
size of the total moment: 0.405 μB per atom
uncorrected energy: -7.999 eV per atom

***

3.
DFT (PBE) results for a relaxed structure of Zr2CrSi.

Unit cell a=3.915 b=3.659 c=5.420 alpha=70.26 beta=90.00 gamma=90.00
Fractional positions:
Zr 0.000 0.978 0.919
Zr 0.500 0.268 0.339
Cr 0.000 0.704 0.468
Si 0.500 0.550 0.774

Properties
size of the total moment: 0.429 μB per atom
uncorrected energy: -8.426 eV per atom

***

4.
DFT (PBE) results for a relaxed structure of Zr2Cr4Si5.

Unit cell a=9.250 b=9.250 c=9.250 alpha=148.97 beta=131.42 gamma=58.77
Fractional positions:
Cr 0.192 0.438 0.753
Cr 0.309 0.559 0.250
Cr 0.808 0.562 0.247
Cr 0.315 0.062 0.253
Cr 0.691 0.941 0.250
Cr 0.309 0.059 0.750
Cr 0.685 0.938 0.747
Cr 0.691 0.441 0.750
Si 0.491 0.564 0.927
Si 0.363 0.936 0.427
Si 0.000 0.250 0.250
Si 0.420 0.211 0.209
Si 0.637 0.064 0.573
Si 0.998 0.289 0.709
Si 0.509 0.436 0.073
Si 0.580 0.789 0.791
Si 0.000 0.750 0.750
Si 0.002 0.711 0.291
Zr 0.737 0.359 0.378
Zr 0.981 0.859 0.122
Zr 0.263 0.641 0.622
Zr 0.019 0.141 0.878

Properties
size of the total moment: 0.000 μB per atom
uncorrected energy: -8.072 eV per atom

***

5.
DFT (PBE) results for a relaxed structure of Zr2CrSi.

Unit cell a=3.287 b=3.287 c=6.501 alpha=90.00 beta=90.00 gamma=90.00
Fractional positions:
Si 0.500 0.500 0.705
Zr 0.500 0.500 0.280
Zr 0.000 0.000 0.960
Cr 0.000 0.000 0.555

Properties
size of the total moment: 0.000 μB per atom
uncorrected energy: -8.199 eV per atom

***

6.
DFT (PBE) results for a relaxed structure of Zr2CrSi.

Unit cell a=7.261 b=7.261 c=5.843 alpha=51.58 beta=51.58 gamma=90.00
Fractional positions:
Zr 0.109 0.625 0.250
Zr 0.375 0.359 0.750
Zr 0.875 0.891 0.750
Zr 0.641 0.125 0.250
Si 0.500 0.500 0.000
Si 0.250 0.750 0.500
Cr 0.750 0.250 0.500
Cr 0.000 0.000 0.000

Properties
size of the total moment: 0.000 μB per atom
uncorrected energy: -7.692 eV per atom